(1)
The following is a DFT calculation (GGA-PBE) of a geometry-optimized PrUTe2S structure.

POSCAR file:
```
PrUTe2S
1.0
4.4897 0.0000 0.0000
0.0000 4.4897 0.0000
0.0000 0.0000 15.5314
Pr U Te S
2 2 4 2
Cartesian
2.2448 0.0000 9.3976
0.0000 2.2448 6.1338
2.2448 0.0000 1.5652
0.0000 2.2448 13.9662
0.0000 2.2448 11.0020
0.0000 2.2448 1.5889
2.2448 0.0000 13.9424
2.2448 0.0000 4.5294
0.0000 0.0000 7.7657
2.2448 2.2448 7.7657
```

Results
* SG: P4/nmm
* spin magnetization: 5.8 μB per cell
* formation energy without anion corrections: -1.097 eV per atom
* D(E_F): 1.47 states/eV/atom


(2)
The following is a DFT calculation (GGA-PBE) of a geometry-optimized KMnVS4 structure.

POSCAR file:
```
KMnVS4
1.0
5.7665 0.0000 -1.1321
0.0000 6.6200 0.0000
-3.8888 0.0000 8.8514
K Mn V S
2 2 2 8
Cartesian
0.0655 4.9650 7.6905
1.8122 1.6550 0.0288
-0.1020 4.9650 3.0366
1.9797 1.6550 4.6827
2.7400 4.9650 3.2128
-0.8623 1.6550 4.5065
-2.1471 3.2398 5.8488
4.0248 6.5498 1.8705
4.0248 3.3802 1.8705
-2.1471 0.0702 5.8488
1.3394 4.9650 1.3532
0.5383 1.6550 6.3661
1.1529 4.9650 4.8185
0.7248 1.6550 2.9008
```

Results
* SG: P2_1/m
* spin magnetization: 6.3 μB per cell
* formation energy without anion corrections: -0.750 eV per atom
* D(E_F): 0.67 states/eV/atom


(3)
The following is a DFT calculation (GGA-PBE) of a geometry-optimized K2TlOsO6 structure.

POSCAR file:
```
K2TlOsO6
1.0
-2.4196 -1.7435 5.3178
-3.3600 -5.0553 0.5973
2.3213 -4.5961 2.7616
K Tl Os O
2 1 1 6
Cartesian
-2.5720 -5.2357 4.1820
1.4776 -4.1329 2.6043
-3.4372 -8.0837 6.3508
-1.7077 -2.3863 2.0124
-0.9015 -3.1896 3.5355
-0.0226 -1.9339 1.3597
-1.6188 -4.0465 1.0899
-1.0713 -7.4350 5.4268
0.5249 -5.3221 5.6960
-0.1923 -6.1789 3.2510
```

Results
* SG: P-1
* spin magnetization: 0.0 μB per cell
* formation energy without anion corrections: -1.113 eV per atom
* D(E_F): 0.19 states/eV/atom


(4)
The following is a DFT calculation (GGA-PBE) of a geometry-optimized PmI3 structure.

POSCAR file:
```
PmI3
1.0
4.0963 0.0000 0.0000
0.0000 7.8979 0.0000
-2.0481 -3.9490 6.3506
I Pm
3 1
Cartesian
0.0000 3.0949 4.3048
2.0481 2.6929 0.0000
2.0481 -0.8541 2.0458
0.0000 0.3315 0.0000
```

Results
* SG: Imm2
* spin magnetization: 0.0 μB per cell
* formation energy without anion corrections: -1.386 eV per atom
* D(E_F): 0.00 states/eV/atom


(5)
The following is a DFT calculation (GGA-PBE) of a geometry-optimized CaPmZn3 structure.

POSCAR file:
```
CaPmZn3
1.0
3.7430 0.0000 -0.5154
0.0000 4.5055 0.0000
0.0082 0.0000 13.9098
Ca Pm Zn
2 2 6
Cartesian
0.7772 3.3791 5.6448
2.9740 1.1264 7.7496
3.4851 3.3791 11.4614
0.2662 1.1264 1.9330
2.3096 3.3791 2.9245
1.4416 1.1264 10.4699
1.9581 3.3791 0.3715
1.7931 1.1264 13.0229
2.4991 1.1264 4.3005
1.2521 3.3791 9.0939
```

Results
* SG: Cmcm
* spin magnetization: 0.0 μB per cell
* DFT formation energy: -0.30 eV/atom
* D(E_F): 1.12 states/eV/atom


(6)
The following is a DFT calculation (GGA-PBE) of a geometry-optimized Nd8Tl2Ir structure.

POSCAR file:
```
Nd8Tl2Ir
1.0
5.6931 -1.0684 -1.6990
-2.9864 7.8598 -4.2063
-0.6240 -1.0629 9.3203
Nd Tl Ir
8 2 1
Cartesian
2.7579 2.2751 -1.2912
3.3085 0.1955 1.8614
5.1228 -0.0948 -0.9572
-1.1530 0.8229 6.7180
-2.5766 6.2003 -1.4339
1.5037 3.6978 2.1766
-1.3405 6.0528 1.9404
-0.7956 3.9948 5.0604
0.4273 4.7535 -0.8862
1.3680 1.2005 4.5001
1.6664 -0.2251 -0.4395
```

Results
* SG: Cm
* spin magnetization: 0.0 μB per cell
* DFT formation energy: -0.26 eV/atom
* D(E_F): 1.25 states/eV/atom